Entry 1:
{
  "formula": "YTlNi2",
  "functional": "PBEsol",
  "state": "optimized geometry",
  "lattice": [[3.518, 0.000, 0.000], [0.000, 4.351, 0.000], [0.000, 0.000, 9.064]],
  "species": ["Y", "Y", "Tl", "Tl", "Ni", "Ni", "Ni", "Ni"],
  "fractional_positions": [[0.000, 0.000, 0.000], [0.500, 0.500, 0.500], [0.000, 0.500, 0.225], [0.500, 0.000, 0.725], [0.000, 0.000, 0.466], [0.000, 0.500, 0.777], [0.500, 0.000, 0.277], [0.500, 0.500, 0.966]],
  "ef_ev_per_atom": -0.10,
  "energy_ev_per_atom": -5.54
}



Entry 2:
{
  "formula": "La2AsBr",
  "functional": "PBEsol",
  "state": "optimized geometry",
  "lattice": [[4.278, 0.000, 0.000], [0.000, 4.278, 0.000], [0.000, 0.000, 6.036]],
  "species": ["La", "La", "As", "Br"],
  "fractional_positions": [[0.000, 0.000, 0.000], [0.500, 0.500, 0.500], [0.000, 0.000, 0.500], [0.500, 0.500, 0.000]],
  "e_form_raw_ev_per_atom": -1.512,
  "energy_ev_per_atom": -5.93
}